A plane-wave DFT calculation with PBE-GGA was carried out for a relaxed structure of SrCdSb2Pb.

Computed properties:
Calculated volume   325 Å³/cell
Electronic total energy   -33.537 eV/cell

Cell: 9.322 9.322 7.402 Å, 90.00 90.00 149.70°
Atoms (fractional coordinates):
Sb 0.323 0.677 0.556
Sb 0.937 0.063 0.042
Pb 0.474 0.526 0.757
Cd 0.899 0.101 0.433
Sr 0.306 0.694 0.078
Sb 0.677 0.323 0.056
Pb 0.526 0.474 0.257
Sb 0.063 0.937 0.542
Cd 0.101 0.899 0.933
Sr 0.694 0.306 0.578